## CaZn2Hg (meta-GGA SCAN)

Data for a crystal of CaZn2Hg relaxed with PBEsol.

Output
* density: 7.253 Mg/m³
* ΔE_f: -0.319 eV/atom
* crystal system: trigonal

Cell lengths 4.4088, 4.4088, 15.1522 Å; angles 90.00, 90.00, 120.00 degrees
Closest atoms and distances in Å follow each position.
Space group R3m (No. 160, hexagonal axes)
Asymmetric unit:
Ca  0.0000  0.0000  0.0000 (multiplicity 3)  4 Hg 3.14-3.22, 7 Zn 3.16-3.23
Zn  0.0000  0.0000  0.2083 (multiplicity 3)  3 Zn 2.55
Zn  0.0000  0.0000  0.5350 (multiplicity 3)  3 Zn 2.55, 3 Hg 2.82
Hg  0.0000  0.0000  0.7878 (multiplicity 3)  6 Zn 2.82-2.87, 3 Ca 3.14



## TaMn2Ni (meta-GGA SCAN)

Data for a crystal of TaMn2Ni relaxed with PBEsol.

Output
* offset from the most stable computed form: 0.013 eV per atom
* density: 11.412 Mg/m³
* ΔE_f: -0.116 eV/atom
* crystal system: tetragonal

Cell lengths 3.6246, 3.6246, 7.7426 Å; angles 90.00, 90.00, 90.00 degrees
Closest atoms and distances in Å follow each position.
Space group I4/mmm (No. 139)
Asymmetric unit:
Ta  0.0000  0.0000  0.0000 (multiplicity 2)  4 Ni 2.56, 8 Mn 2.65
Mn  0.0000  0.5000  0.2500 (multiplicity 4)  4 Mn 2.56, 4 Ta 2.65, 4 Ni 2.65
Ni  0.0000  0.0000  0.5000 (multiplicity 2)  4 Ta 2.56, 8 Mn 2.65



## SrBiIr2Ru (meta-GGA SCAN)

Data for a crystal of SrBiIr2Ru relaxed with PBEsol.

Output
* density: 11.020 Mg/m³
* ΔE_f: 0.993 eV/atom
* crystal system: tetragonal

Cell lengths 4.7211, 4.7211, 5.2875 Å; angles 90.00, 90.00, 90.00 degrees
Closest atoms and distances in Å follow each position.
Space group P4/mmm (No. 123)
Asymmetric unit:
Sr  0.0000  0.0000  0.0000 (multiplicity 1)  2 Ru 2.64
Bi  0.5000  0.5000  0.0000 (multiplicity 1)  4 Sr 3.34, 8 Ir 3.54
Ir  0.0000  0.5000  0.5000 (multiplicity 2)  2 Ru 2.36
Ru  0.0000  0.0000  0.5000 (multiplicity 1)  4 Ir 2.36, 2 Sr 2.64



- Which of these has the lowest density?
  CaZn2Hg



- Which formula does entry 2 have?
  TaMn2Ni